BeZnHRh2: relaxed, PBE.

Values from the calculation:
energy = -24.5 eV/cell

Cell and atoms, written as POSCAR:
```
BeZnHRh2
1.0
4.073 0.000 0.000
0.000 4.073 0.000
0.000 0.000 3.146
Be Zn H Rh
1 1 1 2
Direct
0.000 0.000 0.000 Be
0.500 0.500 0.000 Zn
0.000 0.000 0.500 H
0.000 0.500 0.500 Rh
0.500 0.000 0.500 Rh
```